No. 1
Compound: MgTaSb3
Source: Alexandria
Functional: PBE-GGA
Structure: relaxed

Properties
E_form (uncorrected): 0.398 eV per atom
energy: -23.83 eV per cell
energy above the most stable polymorph in this dataset: 0.00 kcal/mol of atoms
volume: 155.7 Å³ per cell
density of states at the Fermi level: 4.91 states/eV/f.u.
size of the total moment: 0.000 μB/cell

```
data_MgTaSb3
_cell_length_a 5.380
_cell_length_b 5.380
_cell_length_c 5.380
_cell_angle_alpha 90.00
_cell_angle_beta 90.00
_cell_angle_gamma 90.00
_space_group_name_H-M_alt 'P m -3 m'
_space_group_IT_number 221
_space_group_name_Hall '-P 4 2 3'
loop_
_atom_site_label
_atom_site_fract_x
_atom_site_fract_y
_atom_site_fract_z
_atom_site_occupancy
Mg1 0.000 0.000 0.000 1
Ta1 0.500 0.500 0.500 1
Sb1 0.000 0.500 0.500 1
```


No. 2
Compound: In2Ge2S3
Source: Alexandria
Functional: PBE-GGA
Structure: relaxed

Properties
E_form (uncorrected): -0.185 eV per atom
energy: -28.39 eV per cell
volume: 181.8 Å³ per cell
density of states at the Fermi level: 1.45 states/eV/f.u.
size of the total moment: 0.000 μB/cell

```
data_In2Ge2S3
_cell_length_a 5.340
_cell_length_b 6.096
_cell_length_c 6.218
_cell_angle_alpha 84.09
_cell_angle_beta 89.09
_cell_angle_gamma 64.59
_space_group_name_H-M_alt 'P -1'
_space_group_IT_number 2
_space_group_name_Hall '-P 1'
loop_
_atom_site_label
_atom_site_fract_x
_atom_site_fract_y
_atom_site_fract_z
_atom_site_occupancy
In1 0.001 0.253 0.320 1
Ge1 0.227 0.578 0.159 1
S1 0.164 0.084 0.731 1
S2 0.500 0.500 0.500 1
```


No. 3
Compound: BaLa3Ru
Source: Alexandria
Functional: PBE-GGA
Structure: relaxed

Properties
energy: -105.82 eV per cell
energy above the most stable polymorph in this dataset: 1.21 kcal/mol of atoms
volume: 736.2 Å³ per cell
formation energy: -0.0947 eV per atom
density of states at the Fermi level: 6.89 states/eV/f.u.
size of the total moment: 0.000 μB/cell

```
data_BaLa3Ru
_cell_length_a 13.274
_cell_length_b 4.694
_cell_length_c 11.816
_cell_angle_alpha 90.00
_cell_angle_beta 90.31
_cell_angle_gamma 90.00
_space_group_name_H-M_alt 'C 1 2/m 1'
_space_group_IT_number 12
_space_group_name_Hall '-C 2y'
loop_
_atom_site_label
_atom_site_fract_x
_atom_site_fract_y
_atom_site_fract_z
_atom_site_occupancy
Ba1 0.140 0.000 0.072 1
La1 0.054 0.000 0.392 1
La2 0.078 0.500 0.775 1
La3 0.250 0.000 0.625 1
Ru1 0.108 0.500 0.566 1
```


No. 4
Compound: LuHfPt2
Source: Alexandria
Functional: PBE-GGA
Structure: relaxed

Properties
energy: -124.08 eV per cell
energy above the most stable polymorph in this dataset: 0.85 kcal/mol of atoms
volume: 306.5 Å³ per cell
formation energy: -1.1159 eV per atom
density of states at the Fermi level: 3.49 states/eV/f.u.
size of the total moment: 0.018 μB/cell

```
data_LuHfPt2
_cell_length_a 6.743
_cell_length_b 6.743
_cell_length_c 6.743
_cell_angle_alpha 90.00
_cell_angle_beta 90.00
_cell_angle_gamma 90.00
_space_group_name_H-M_alt 'F m -3 m'
_space_group_IT_number 225
_space_group_name_Hall '-F 4 2 3'
loop_
_atom_site_label
_atom_site_fract_x
_atom_site_fract_y
_atom_site_fract_z
_atom_site_occupancy
Lu1 0.000 0.000 0.000 1
Hf1 0.000 0.000 0.500 1
Pt1 0.250 0.250 0.250 1
```


No. 5
Compound: Li5MgAl
Source: Alexandria
Functional: PBE-GGA
Structure: relaxed

Properties
energy: -28.83 eV per cell
energy above the most stable polymorph in this dataset: 2.22 kcal/mol of atoms
volume: 282.9 Å³ per cell
formation energy: 0.0704 eV per atom
density of states at the Fermi level: 3.26 states/eV/f.u.
size of the total moment: 0.000 μB/cell

```
data_Li5MgAl
_cell_length_a 5.605
_cell_length_b 8.723
_cell_length_c 5.786
_cell_angle_alpha 90.00
_cell_angle_beta 90.00
_cell_angle_gamma 90.00
_space_group_name_H-M_alt 'C m m m'
_space_group_IT_number 65
_space_group_name_Hall '-C 2 2'
loop_
_atom_site_label
_atom_site_fract_x
_atom_site_fract_y
_atom_site_fract_z
_atom_site_occupancy
Li1 0.000 0.000 0.000 1
Li2 0.250 0.250 0.237 1
Mg1 0.000 0.000 0.500 1
Al1 0.000 0.500 0.000 1
```


No. 6
Compound: Th4CdOs2
Source: Alexandria
Functional: PBE-GGA
Structure: relaxed

Properties
energy: -109.38 eV per cell
volume: 374.3 Å³ per cell
formation energy: -0.2336 eV per atom
density of states at the Fermi level: 6.38 states/eV/f.u.
size of the total moment: 0.000 μB/cell

```
data_Th4CdOs2
_cell_length_a 7.089
_cell_length_b 7.137
_cell_length_c 8.796
_cell_angle_alpha 107.69
_cell_angle_beta 107.47
_cell_angle_gamma 104.64
_space_group_name_H-M_alt 'P 1'
_space_group_IT_number 1
_space_group_name_Hall 'P 1'
loop_
_atom_site_label
_atom_site_fract_x
_atom_site_fract_y
_atom_site_fract_z
_atom_site_occupancy
Th1 0.000 0.000 0.000 1
Th2 0.041 0.714 0.594 1
Th3 0.095 0.268 0.703 1
Th4 0.269 0.593 0.183 1
Th5 0.506 0.537 0.586 1
Th6 0.569 0.101 0.713 1
Th7 0.648 0.149 0.298 1
Th8 0.736 0.560 0.116 1
Cd1 0.163 0.017 0.375 1
Cd2 0.436 0.791 0.923 1
Os1 0.044 0.369 0.329 1
Os2 0.365 0.190 0.969 1
Os3 0.705 0.839 0.466 1
Os4 0.888 0.522 0.832 1
```


No. 7
Compound: CsNaAuSe2
Source: Alexandria
Functional: PBE-GGA
Structure: relaxed

Properties
E_form (uncorrected): -0.676 eV per atom
energy: -63.19 eV per cell
volume: 675.3 Å³ per cell
density of states at the Fermi level: 5.82 states/eV/f.u.
size of the total moment: 1.208 μB/cell

```
data_CsNaAuSe2
_cell_length_a 7.400
_cell_length_b 14.490
_cell_length_c 6.298
_cell_angle_alpha 90.00
_cell_angle_beta 90.00
_cell_angle_gamma 90.00
_space_group_name_H-M_alt 'C m m e'
_space_group_IT_number 67
_space_group_name_Hall '-C 2a 2'
loop_
_atom_site_label
_atom_site_fract_x
_atom_site_fract_y
_atom_site_fract_z
_atom_site_occupancy
Cs1 0.000 0.250 0.238 1
Na1 0.250 0.000 0.500 1
Au1 0.000 0.000 0.000 1
Se1 0.000 0.120 0.732 1
```


No. 8
Compound: AgWAu
Source: Alexandria
Functional: PBE-GGA
Structure: relaxed

Properties
energy: -35.60 eV per cell
energy above the most stable polymorph in this dataset: 0.59 kcal/mol of atoms
volume: 101.9 Å³ per cell
formation energy: 0.4272 eV per atom
density of states at the Fermi level: 1.76 states/eV/f.u.
size of the total moment: 0.000 μB/cell

```
data_AgWAu
_cell_length_a 2.778
_cell_length_b 2.778
_cell_length_c 13.199
_cell_angle_alpha 90.00
_cell_angle_beta 90.00
_cell_angle_gamma 90.00
_space_group_name_H-M_alt 'I 4 m m'
_space_group_IT_number 107
_space_group_name_Hall 'I 4 -2'
loop_
_atom_site_label
_atom_site_fract_x
_atom_site_fract_y
_atom_site_fract_z
_atom_site_occupancy
Ag1 0.000 0.000 0.000 1
W1 0.000 0.000 0.666 1
Au1 0.000 0.000 0.326 1
```


No. 9
Compound: ScMnSi2
Source: Alexandria
Functional: PBE-GGA
Structure: relaxed

Properties
E_form (uncorrected): -0.404 eV per atom
energy: -55.92 eV per cell
volume: 124.9 Å³ per cell
density of states at the Fermi level: 2.34 states/eV/f.u.
size of the total moment: 5.109 μB/cell

```
data_ScMnSi2
_cell_length_a 3.627
_cell_length_b 3.693
_cell_length_c 9.323
_cell_angle_alpha 90.00
_cell_angle_beta 90.00
_cell_angle_gamma 90.00
_space_group_name_H-M_alt 'A m m 2'
_space_group_IT_number 38
_space_group_name_Hall 'A 2 -2'
loop_
_atom_site_label
_atom_site_fract_x
_atom_site_fract_y
_atom_site_fract_z
_atom_site_occupancy
Sc1 0.000 0.000 0.000 1
Mn1 0.500 0.000 0.723 1
Si1 0.000 0.000 0.275 1
Si2 0.500 0.000 0.444 1
```


No. 10
Compound: UAlTcIr
Source: Alexandria
Functional: PBE-GGA
Structure: relaxed

Properties
energy: -143.24 eV per cell
volume: 276.1 Å³ per cell
formation energy: -0.3880 eV per atom
density of states at the Fermi level: 5.54 states/eV/f.u.
size of the total moment: 5.586 μB/cell

```
data_UAlTcIr
_cell_length_a 6.512
_cell_length_b 6.512
_cell_length_c 6.512
_cell_angle_alpha 90.00
_cell_angle_beta 90.00
_cell_angle_gamma 90.00
_space_group_name_H-M_alt 'F -4 3 m'
_space_group_IT_number 216
_space_group_name_Hall 'F -4 2 3'
loop_
_atom_site_label
_atom_site_fract_x
_atom_site_fract_y
_atom_site_fract_z
_atom_site_occupancy
U1 0.000 0.000 0.000 1
Al1 0.000 0.000 0.500 1
Tc1 0.250 0.250 0.750 1
Ir1 0.250 0.250 0.250 1
```


No. 11
Compound: Li2UMnTe4
Source: Alexandria
Functional: PBE-GGA
Structure: relaxed

Properties
E_form (uncorrected): -0.627 eV per atom
energy: -41.87 eV per cell
volume: 216.1 Å³ per cell
density of states at the Fermi level: 4.48 states/eV/f.u.
size of the total moment: 7.010 μB/cell

```
data_Li2UMnTe4
_cell_length_a 7.307
_cell_length_b 4.238
_cell_length_c 7.381
_cell_angle_alpha 90.00
_cell_angle_beta 109.01
_cell_angle_gamma 90.00
_space_group_name_H-M_alt 'P 1 2/m 1'
_space_group_IT_number 10
_space_group_name_Hall '-P 2y'
loop_
_atom_site_label
_atom_site_fract_x
_atom_site_fract_y
_atom_site_fract_z
_atom_site_occupancy
Li1 0.000 0.000 0.000 1
Li2 0.500 0.500 0.000 1
U1 0.000 0.500 0.500 1
Mn1 0.500 0.000 0.500 1
Te1 0.260 0.000 0.757 1
Te2 0.268 0.500 0.262 1
```


No. 12
Compound: YLuAl
Source: Alexandria
Functional: PBE-GGA
Structure: relaxed

Properties
energy: -31.05 eV per cell
energy above the most stable polymorph in this dataset: 0.00 kcal/mol of atoms
volume: 154.8 Å³ per cell
formation energy: -0.2665 eV per atom
density of states at the Fermi level: 2.42 states/eV/f.u.
size of the total moment: 0.002 μB/cell

```
data_YLuAl
_cell_length_a 3.419
_cell_length_b 3.419
_cell_length_c 13.239
_cell_angle_alpha 90.00
_cell_angle_beta 90.00
_cell_angle_gamma 90.00
_space_group_name_H-M_alt 'I 4 m m'
_space_group_IT_number 107
_space_group_name_Hall 'I 4 -2'
loop_
_atom_site_label
_atom_site_fract_x
_atom_site_fract_y
_atom_site_fract_z
_atom_site_occupancy
Y1 0.000 0.000 0.000 1
Lu1 0.000 0.000 0.702 1
Al1 0.000 0.000 0.348 1
```


Which of these has the lowest energy?
UAlTcIr